A crystal of HfTlB2 relaxed with PBEsol. Source: the Alexandria database, functional SCAN.

Cell lengths 4.306, 4.306, 4.306 Å; angles 60.00, 60.00, 60.00 degrees
Sites, in units of the cell vectors:
Hf: 0.000 0.000 0.000
Tl: 0.500 0.500 0.500
B: 0.250 0.250 0.250
B: 0.750 0.750 0.750

* space group: Fm-3m (225)
* energy of formation: 1.185 eV per atom
* volume: 14.11 A^3/atom
* N(E_F): 0.71 states/eV per atom